(P)
4
Lattice="-1.137 3.359 0.323 -3.223 0.913 -1.208 -4.945 -0.513 7.559" Properties=species:S:1:pos:R:3 comment="PmSmCl2 | Alexandria | GGA-PBE | optimized geometry" vol_a3_per_cell=96.8 m_tot_mub_per_fu=0.0 sg="R3m, No. 160" pbc="T T T"
Pm -4.642 1.886 3.313
Sm -2.916 2.843 -0.570
Cl -4.077 -0.032 5.607
Cl -2.323 0.941 1.662

(Q)
4
Lattice="-2.545 2.561 -0.525 -3.187 -0.206 1.765 1.781 5.945 7.684" Properties=species:S:1:pos:R:3 comment="PmSmCl2 | Alexandria | GGA-PBE | optimized geometry" vol_a3_per_cell=111.3 m_tot_mub_per_fu=0.0 sg="R-3m, No. 166" pbc="T T T"
Cl 0.712 4.450 5.578
Cl -4.663 3.850 3.346
Sm 0.000 0.000 0.000
Pm -1.975 4.150 4.462

The computed energies, referenced to the most stable structure and given in eV/atom, are (P) 0.000; (Q) 0.018.